# 1
A geometry-optimized Cs2UBr4F2 structure, computed with PBE.

Lattice parameters (Å, degrees): 6.223 7.606 7.606 66.15 80.65 80.65
Last column: magnetic moment on the atom in μB.
Element x y z (fractional)
1 F 0.758 0.869 0.869  -0.03
2 F 0.242 0.131 0.131  -0.03
3 Br 0.701 0.852 0.350  -0.01
4 Br 0.299 0.650 0.148  -0.01
5 Br 0.701 0.350 0.852  -0.01
6 Br 0.299 0.148 0.650  -0.01
7 Cs 0.176 0.669 0.669  0.00
8 Cs 0.824 0.331 0.331  0.00
9 U 0.500 0.000 0.000  2.03

Calculated values
calculated total energy = -4.811 eV per atom
formation energy from raw total energies = -50.9 kcal/mol of atoms
N(E_F) = 0.7 states/eV/cell
crystal system = monoclinic

---

# 2
A geometry-optimized LaNi2Pb structure, computed with PBE.

Lattice parameters (Å, degrees): 4.740 4.740 9.413 75.42 75.42 90.00
Element x y z (fractional)
1 La 0.250 0.750 0.500
2 La 0.500 0.500 0.000
3 Pb 0.750 0.250 0.500
4 Pb 0.000 0.000 0.000
5 Ni 0.875 0.076 0.750
6 Ni 0.826 0.125 0.250
7 Ni 0.924 0.625 0.250
8 Ni 0.375 0.174 0.750

Calculated values
calculated total energy = -4.984 eV per atom
N(E_F) = 5.1 states/eV/cell
E_form = 0.066 eV/atom
crystal system = tetragonal

---

# 3
A geometry-optimized K3Pm2BiTe6 structure, computed with PBE.

Lattice parameters (Å, degrees): 7.967 7.967 8.678 98.80 98.80 120.00
Element x y z (fractional)
1 Te 0.262 0.262 0.788
2 Te 0.596 0.929 0.787
3 Te 0.404 0.071 0.213
4 Te 0.929 0.596 0.787
5 Te 0.071 0.404 0.213
6 Te 0.738 0.738 0.212
7 Pm 0.667 0.333 0.000
8 Pm 0.333 0.667 0.000
9 K 0.834 0.166 0.500
10 K 0.166 0.834 0.500
11 K 0.500 0.500 0.500
12 Bi 0.000 0.000 0.000

Calculated values
calculated total energy = -4.107 eV per atom
formation energy from raw total energies = -26.5 kcal/mol of atoms
N(E_F) = 0.0 states/eV/cell
crystal system = monoclinic

---

# 4
A geometry-optimized Si2AsSe structure, computed with PBE.

Lattice parameters (Å, degrees): 6.192 6.192 6.192 145.27 145.27 49.93
Element x y z (fractional)
1 Si 0.250 0.750 0.500
2 Si 0.000 0.000 0.000
3 As 0.500 0.500 0.000
4 Se 0.750 0.250 0.500

Calculated values
calculated total energy = -4.230 eV per atom
formation energy from raw total energies = 11.9 kcal/mol of atoms
N(E_F) = 1.9 states/eV/cell
energy above the lowest structure with this stoichiometry = 530 meV per atom
crystal system = tetragonal

---

Q: Among the records above, which one has the lowest calculated total energy?
A: LaNi2Pb